Entry 1:
## Dy2AuSe (PBE)

Data for a geometry-optimized Dy2AuSe structure.

Cell and atoms, written as CIF:
```
data_Dy2AuSe
_chemical_formula_sum 'Dy4 Au2 Se2'
_cell_length_a 4.266
_cell_length_b 3.976
_cell_length_c 11.635
_cell_angle_alpha 99.84
_cell_angle_beta 90.00
_cell_angle_gamma 90.00
_symmetry_space_group_name_H-M 'P 1'
_symmetry_Int_Tables_number 1
_symmetry_space_group_name_Hall 'P 1'
loop_
_atom_site_label
_atom_site_type_symbol
_atom_site_fract_x
_atom_site_fract_y
_atom_site_fract_z
Dy1 Dy 0.750 0.933 0.866
Au1 Au 0.250 0.454 0.908
Dy2 Dy 0.750 0.681 0.362
Se1 Se 0.250 0.193 0.386
Dy3 Dy 0.250 0.067 0.134
Dy4 Dy 0.250 0.319 0.638
Se2 Se 0.750 0.807 0.614
Au2 Au 0.750 0.546 0.092
```

Output
E above lowest polymorph: 0 meV/atom
Space group: Cmcm, No. 63

***

Entry 2:
## ScZn2Cu (PBE)

Data for a geometry-optimized ScZn2Cu structure.

Cell and atoms, written as CIF:
```
data_ScZn2Cu
_chemical_formula_sum 'Sc1 Zn2 Cu1'
_cell_length_a 6.057
_cell_length_b 6.057
_cell_length_c 6.057
_cell_angle_alpha 152.44
_cell_angle_beta 52.04
_cell_angle_gamma 136.77
_symmetry_space_group_name_H-M 'P 1'
_symmetry_Int_Tables_number 1
_symmetry_space_group_name_Hall 'P 1'
loop_
_atom_site_label
_atom_site_type_symbol
_atom_site_fract_x
_atom_site_fract_y
_atom_site_fract_z
Zn1 Zn 0.280 0.000 0.280
Zn2 Zn 0.720 0.000 0.720
Sc1 Sc 0.000 0.000 0.000
Cu1 Cu 0.500 0.000 0.500
```

Output
ΔH_f (0 K): 77 meV per atom
Space group: Immm, No. 71

***

Entry 3:
## NaTaNi (PBE)

Data for a geometry-optimized NaTaNi structure.

Cell and atoms, written as CIF:
```
data_NaTaNi
_chemical_formula_sum 'Na1 Ta1 Ni1'
_cell_length_a 4.322
_cell_length_b 4.322
_cell_length_c 4.322
_cell_angle_alpha 60.00
_cell_angle_beta 60.00
_cell_angle_gamma 60.00
_symmetry_space_group_name_H-M 'P 1'
_symmetry_Int_Tables_number 1
_symmetry_space_group_name_Hall 'P 1'
loop_
_atom_site_label
_atom_site_type_symbol
_atom_site_fract_x
_atom_site_fract_y
_atom_site_fract_z
Ni1 Ni 0.500 0.500 0.500
Ta1 Ta 0.750 0.750 0.750
Na1 Na 0.000 0.000 0.000
```

Output
ΔH_f (0 K): 1404 meV per atom
Space group: F-43m, No. 216